Record 1
{
  "formula": "SmScW4",
  "functional": "GGA-PBE",
  "state": "relaxed",
  "lattice_angstrom": [[0.000, 3.891, 3.891], [3.891, 0.000, 3.891], [3.891, 3.891, 0.000]],
  "species": ["Sm", "Sc", "W", "W", "W", "W"],
  "frac_coords": [[0.000, 0.000, 0.000], [0.250, 0.250, 0.250], [0.125, 0.625, 0.625], [0.625, 0.125, 0.625], [0.625, 0.625, 0.125], [0.625, 0.625, 0.625]],
  "e_form_mev_per_atom": 174.5,
  "n_ef_per_ev_atom": 1.634,
  "crystal_system": "cubic"
}

=====

Record 2
{
  "formula": "AcDyHgBi",
  "functional": "GGA-PBE",
  "state": "relaxed",
  "lattice_angstrom": [[0.000, 3.971, 3.971], [3.971, 0.000, 3.971], [3.971, 3.971, 0.000]],
  "species": ["Ac", "Dy", "Hg", "Bi"],
  "frac_coords": [[0.000, 0.000, 0.000], [0.500, 0.500, 0.500], [0.750, 0.750, 0.750], [0.250, 0.250, 0.250]],
  "e_form_mev_per_atom": -500.8,
  "n_ef_per_ev_atom": 1.166,
  "crystal_system": "cubic"
}

=====

Record 3
{
  "formula": "CaGdZnSn",
  "functional": "GGA-PBE",
  "state": "relaxed",
  "lattice_angstrom": [[0.000, 3.733, 3.733], [3.733, 0.000, 3.733], [3.733, 3.733, 0.000]],
  "species": ["Ca", "Gd", "Zn", "Sn"],
  "frac_coords": [[0.000, 0.000, 0.000], [0.500, 0.500, 0.500], [0.750, 0.750, 0.750], [0.250, 0.250, 0.250]],
  "e_form_mev_per_atom": -490.4,
  "n_ef_per_ev_atom": 1.057,
  "crystal_system": "cubic"
}

=====

Record 4
{
  "formula": "CaSb2Pb2",
  "functional": "GGA-PBE",
  "state": "relaxed",
  "lattice_angstrom": [[8.297, 0.000, 0.000], [0.000, 8.297, 0.000], [0.000, 0.000, 4.595]],
  "species": ["Ca", "Ca", "Sb", "Sb", "Sb", "Sb", "Pb", "Pb", "Pb", "Pb"],
  "frac_coords": [[0.000, 0.000, 0.000], [0.500, 0.500, 0.000], [0.146, 0.354, 0.000], [0.354, 0.854, 0.000], [0.646, 0.146, 0.000], [0.854, 0.646, 0.000], [0.154, 0.654, 0.500], [0.346, 0.154, 0.500], [0.654, 0.846, 0.500], [0.846, 0.346, 0.500]],
  "n_ef_per_ev_atom": 0.791,
  "crystal_system": "tetragonal",
  "raw_formation_energy_ev_per_atom": -0.22
}